# 1
The following is a PBE calculation of crystalline CsAcTcO5 at its relaxed geometry, from Alexandria via LeMat-Bulk.

Unit cell a=6.920 b=6.920 c=8.699 alpha=104.16 beta=104.16 gamma=106.98
Positions (direct):
Cs 0.173 0.827 0.750
Cs 0.827 0.173 0.250
Ac 0.500 0.500 0.000
Ac 0.500 0.500 0.500
Tc 0.185 0.815 0.250
Tc 0.815 0.185 0.750
O 0.080 0.256 0.893
O 0.202 0.640 0.371
O 0.256 0.080 0.393
O 0.360 0.798 0.129
O 0.428 0.572 0.750
O 0.572 0.428 0.250
O 0.640 0.202 0.871
O 0.744 0.920 0.607
O 0.798 0.360 0.629
O 0.920 0.744 0.107

Values from the calculation:
* size of the total moment: 0.1255 μB per atom
* ΔE_f (raw): -2.0677 eV per atom
* E_tot: -7.08 eV per atom
* density of states at the Fermi level: 12.4 states/eV/cell

=====

# 2
The following is a PBE calculation of crystalline CsAc2TcO8 at its relaxed geometry, from Alexandria via LeMat-Bulk.

Unit cell a=4.616 b=5.426 c=8.146 alpha=89.89 beta=74.64 gamma=89.67
Positions (direct):
Cs 0.000 0.000 0.000
Ac 0.376 0.501 0.305
Ac 0.624 0.499 0.695
Tc 0.000 0.000 0.500
O 0.176 0.264 0.600
O 0.187 0.749 0.603
O 0.325 0.999 0.303
O 0.334 0.498 0.004
O 0.666 0.502 0.996
O 0.675 0.001 0.697
O 0.813 0.251 0.397
O 0.824 0.736 0.400

Values from the calculation:
* size of the total moment: 0.0000 μB per atom
* ΔE_f (raw): -2.1103 eV per atom
* E_tot: -7.04 eV per atom

=====

# 3
The following is a PBE calculation of crystalline CsAcTc2O8 at its relaxed geometry, from Alexandria via LeMat-Bulk.

Unit cell a=6.245 b=6.245 c=8.703 alpha=90.00 beta=90.00 gamma=120.00
Positions (direct):
Cs 0.000 0.000 0.000
Ac 0.000 0.000 0.500
Tc 0.333 0.667 0.752
Tc 0.667 0.333 0.248
O 0.175 0.354 0.681
O 0.179 0.825 0.681
O 0.333 0.667 0.953
O 0.354 0.179 0.319
O 0.646 0.821 0.681
O 0.667 0.333 0.047
O 0.821 0.175 0.319
O 0.825 0.646 0.319

Values from the calculation:
* size of the total moment: 0.1686 μB per atom
* ΔE_f (raw): -1.9326 eV per atom
* E_tot: -7.38 eV per atom
* density of states at the Fermi level: 9.2 states/eV/cell

=====

What is the ΔE_f (raw) in the third record?
-1.9326 eV per atom